# 1
Here is an optimized crystal structure of CaScTa from the Alexandria database. Energies are from PBE.

Summary:
* energy above the lowest structure with this stoichiometry: 7.55 kJ per mole of atoms
* energy of formation: 1.3 eV/f.u.
* N(E_F): 2.913 states/eV/cell

abc: 3.2048 3.2048 8.2356
angles: 90.00 90.00 120.00
With the nearest neighbours (Å) after each atom.
Sites, in units of the cell vectors:
Ca 0.0000 0.0000 0.0000  6 Ca 3.20, 3 Ta 3.31
Sc 0.6667 0.3333 0.3844  3 Ta 2.97, 6 Sc 3.20
Ta 0.3333 0.6667 0.6667  3 Sc 2.97, 6 Ta 3.20, 3 Ca 3.31

# 2
Here is an optimized crystal structure of Ca4ScTa from the Alexandria database. Energies are from PBE.

Summary:
* energy of formation: 5.5 eV/f.u.
* N(E_F): 5.194 states/eV/cell

abc: 6.4780 6.4780 6.4780
angles: 60.00 60.00 60.00
With the nearest neighbours (Å) after each atom.
Sites, in units of the cell vectors:
Ca 0.1252 0.1252 0.1252  6 Ca 3.23-3.24
Ca 0.1252 0.1252 0.6245  6 Ca 3.23-3.24
Ca 0.1252 0.6245 0.1252  6 Ca 3.23-3.24
Ca 0.6245 0.1252 0.1252  6 Ca 3.23-3.24
Sc 0.7500 0.7500 0.7500  12 Ca 3.80, 4 Ta 3.97
Ta 0.5000 0.5000 0.5000  12 Ca 3.80, 4 Sc 3.97

# 3
Here is an optimized crystal structure of CaScTa4 from the Alexandria database. Energies are from PBE.

Summary:
* energy of formation: 2.5 eV/f.u.
* N(E_F): 9.742 states/eV/cell

abc: 5.7018 5.7018 5.7018
angles: 60.00 60.00 60.00
With the nearest neighbours (Å) after each atom.
Sites, in units of the cell vectors:
Ca 0.0000 0.0000 0.0000  12 Ta 3.34, 4 Sc 3.49
Sc 0.7500 0.7500 0.7500  12 Ta 3.34, 4 Ca 3.49
Ta 0.3753 0.3753 0.3753  6 Ta 2.84-2.86
Ta 0.3753 0.3753 0.8742  6 Ta 2.84-2.86
Ta 0.3753 0.8742 0.3753  6 Ta 2.84-2.86
Ta 0.8742 0.3753 0.3753  6 Ta 2.84-2.86

# 4
Here is an optimized crystal structure of CaScTa from the Alexandria database. Energies are from PBE.

Summary:
* energy above the lowest structure with this stoichiometry: 18.43 kJ per mole of atoms
* energy of formation: 1.7 eV/f.u.
* N(E_F): 4.794 states/eV/cell

abc: 5.2602 5.2602 2.8775
angles: 90.00 90.00 120.00
With the nearest neighbours (Å) after each atom.
Sites, in units of the cell vectors:
Ca 0.0000 0.0000 0.0000  2 Ca 2.88, 3 Sc 3.04
Sc 0.6667 0.3333 0.0000  2 Sc 2.88, 3 Ca 3.04
Ta 0.3333 0.6667 0.5000  2 Ta 2.88

# 5
Here is an optimized crystal structure of Ca3ScTa from the Alexandria database. Energies are from PBE.

Summary:
* energy above the lowest structure with this stoichiometry: 0.00 kJ per mole of atoms
* energy of formation: 5.7 eV/f.u.
* N(E_F): 7.320 states/eV/cell

abc: 5.6288 5.6288 5.6288
angles: 90.00 90.00 90.00
With the nearest neighbours (Å) after each atom.
Sites, in units of the cell vectors:
Ca 0.0000 0.0000 0.5000  2 Ta 2.81
Ca 0.0000 0.5000 0.0000  2 Ta 2.81
Ca 0.5000 0.0000 0.0000  2 Ta 2.81
Sc 0.5000 0.5000 0.5000  12 Ca 3.98
Ta 0.0000 0.0000 0.0000  6 Ca 2.81

# 6
Here is an optimized crystal structure of CaScTa from the Alexandria database. Energies are from PBE.

Summary:
* energy above the lowest structure with this stoichiometry: 0.00 kJ per mole of atoms
* energy of formation: 1.1 eV/f.u.
* N(E_F): 2.562 states/eV/cell

abc: 8.1929 8.1929 8.1929
angles: 158.36 158.36 30.79
With the nearest neighbours (Å) after each atom.
Sites, in units of the cell vectors:
Ca 0.0000 0.0000 0.0000  4 Ca 3.08
Sc 0.3018 0.3018 0.0000  4 Ta 2.98, 4 Sc 3.08
Ta 0.6730 0.6730 0.0000  4 Sc 2.98, 4 Ta 3.08

# 7
Here is an optimized crystal structure of CaSc2Ta2 from the Alexandria database. Energies are from PBE.

Summary:
* energy of formation: 1.7 eV/f.u.
* N(E_F): 17.323 states/eV/cell

abc: 8.6436 8.6436 3.1604
angles: 90.00 90.00 90.00
With the nearest neighbours (Å) after each atom.
Sites, in units of the cell vectors:
Ca 0.0000 0.0000 0.0000  2 Ca 3.16, 4 Ta 3.51, 8 Sc 3.54
Ca 0.5000 0.5000 0.0000  2 Ca 3.16, 4 Ta 3.51, 8 Sc 3.54
Sc 0.1823 0.3177 0.5000  6 Ta 3.01-3.04, 2 Sc 3.16
Sc 0.3177 0.8177 0.5000  6 Ta 3.01-3.04, 2 Sc 3.16
Sc 0.6823 0.1823 0.5000  6 Ta 3.01-3.04, 2 Sc 3.16
Sc 0.8177 0.6823 0.5000  6 Ta 3.01-3.04, 2 Sc 3.16
Ta 0.1083 0.6083 0.0000  1 Ta 2.65
Ta 0.3917 0.1083 0.0000  1 Ta 2.65
Ta 0.6083 0.8917 0.0000  1 Ta 2.65
Ta 0.8917 0.3917 0.0000  1 Ta 2.65

# 8
Here is an optimized crystal structure of CaScTa from the Alexandria database. Energies are from PBE.

Summary:
* energy above the lowest structure with this stoichiometry: 90.57 kJ per mole of atoms
* energy of formation: 3.9 eV/f.u.
* N(E_F): 5.556 states/eV/cell

abc: 5.0336 5.0336 5.0336
angles: 60.00 60.00 60.00
With the nearest neighbours (Å) after each atom.
Sites, in units of the cell vectors:
Ca 0.0000 0.0000 0.0000  4 Ta 3.08
Sc 0.5000 0.5000 0.5000  4 Ta 3.08
Ta 0.7500 0.7500 0.7500  4 Ca 3.08, 4 Sc 3.08

# 9
Here is an optimized crystal structure of CaScTa from the Alexandria database. Energies are from PBE.

Summary:
* energy above the lowest structure with this stoichiometry: 15.30 kJ per mole of atoms
* energy of formation: 1.6 eV/f.u.
* N(E_F): 4.255 states/eV/cell

abc: 6.0826 6.0826 6.0826
angles: 150.42 137.85 52.34
With the nearest neighbours (Å) after each atom.
Sites, in units of the cell vectors:
Ca 0.0000 0.0000 0.0000  2 Ca 3.11, 5 Sc 3.29-3.45, 5 Ta 3.38-3.41
Sc 0.6987 0.6987 0.0000  4 Ta 2.96, 2 Sc 3.11, 1 Ca 3.29
Ta 0.3123 0.3123 0.0000  4 Sc 2.96, 2 Ta 3.11

# 10
Here is an optimized crystal structure of CaTb2Sc from the Alexandria database. Energies are from PBE.

Summary:
* energy above the lowest structure with this stoichiometry: 9.71 kJ per mole of atoms
* energy of formation: 0.7 eV/f.u.
* N(E_F): 6.935 states/eV/cell

abc: 5.0516 5.0516 4.9104
angles: 90.00 90.00 90.00
With the nearest neighbours (Å) after each atom.
Sites, in units of the cell vectors:
Ca 0.0000 0.0000 0.0000  8 Tb 3.52, 4 Sc 3.57
Tb 0.0000 0.5000 0.5000  4 Ca 3.52, 4 Sc 3.52, 4 Tb 3.57
Tb 0.5000 0.0000 0.5000  4 Ca 3.52, 4 Sc 3.52, 4 Tb 3.57
Sc 0.5000 0.5000 0.0000  8 Tb 3.52, 4 Ca 3.57

# 11
Here is an optimized crystal structure of CaTb2Sc from the Alexandria database. Energies are from PBE.

Summary:
* energy above the lowest structure with this stoichiometry: 9.62 kJ per mole of atoms
* energy of formation: 0.7 eV/f.u.
* N(E_F): 6.330 states/eV/cell

abc: 5.6184 5.6184 5.6184
angles: 60.00 60.00 60.00
With the nearest neighbours (Å) after each atom.
Sites, in units of the cell vectors:
Ca 0.0000 0.0000 0.0000  8 Tb 3.44
Tb 0.2500 0.2500 0.2500  4 Ca 3.44, 4 Sc 3.44
Tb 0.7500 0.7500 0.7500  4 Ca 3.44, 4 Sc 3.44
Sc 0.5000 0.5000 0.5000  8 Tb 3.44

# 12
Here is an optimized crystal structure of CaTb2Sc from the Alexandria database. Energies are from PBE.

Summary:
* energy above the lowest structure with this stoichiometry: 0.00 kJ per mole of atoms
* energy of formation: 0.3 eV/f.u.
* N(E_F): 4.145 states/eV/cell

abc: 3.8535 3.8535 8.8113
angles: 90.00 90.00 90.00
With the nearest neighbours (Å) after each atom.
Sites, in units of the cell vectors:
Ca 0.0000 0.0000 0.0000  8 Tb 3.77, 4 Ca 3.85
Tb 0.5000 0.5000 0.2955  4 Sc 3.27, 1 Tb 3.60
Tb 0.5000 0.5000 0.7045  4 Sc 3.27, 1 Tb 3.60
Sc 0.0000 0.0000 0.5000  8 Tb 3.27